Record 1
DFT (PBE) results for ZrAl4Ir5 after structural relaxation.

The structure belongs to space group P4/mmm (No. 123); the cell edges are 2.9897, 2.9897 and 16.2646 Å and the angles 90.00°, 90.00° and 90.00°. The distinct sites, in fractional coordinates, are Zr at (0.0000, 0.0000, 0.0000), Al at (0.0000, 0.0000, 0.2136), Al at (0.0000, 0.0000, 0.4050), Ir at (0.5000, 0.5000, 0.1229), Ir at (0.5000, 0.5000, 0.3130) and Ir at (0.5000, 0.5000, 0.5000).

As for the total magnetization: 0.001 μB/cell. The value obtained for the total DFT energy (no corrections) is -77.28 eV/cell. The calculation puts the formation energy at -946 meV/atom.

***

Record 2
DFT (PBE) results for Dy3Y2Al2 after structural relaxation.

The structure belongs to space group Cmmm (No. 65); the cell edges are 3.4601, 32.3299 and 3.4610 Å and the angles 90.00°, 90.00° and 90.00°. The distinct sites, in fractional coordinates, are Dy at (0.0000, 0.0000, 0.0000), Dy at (0.0000, 0.1213, 0.0000), Y at (0.0000, 0.2975, 0.5000) and Al at (0.0000, 0.4389, 0.5000).

As for the total magnetization: 0.995 μB/cell. The value obtained for the total DFT energy (no corrections) is -70.60 eV/cell. The calculation puts the formation energy at -155 meV/atom.

***

Record 3
DFT (PBE) results for TaMo2ICl after structural relaxation.

The structure belongs to space group P4/mmm (No. 123); the cell edges are 4.9397, 4.9397 and 5.1157 Å and the angles 90.00°, 90.00° and 90.00°. The distinct sites, in fractional coordinates, are Ta at (0.0000, 0.0000, 0.0000), Mo at (0.0000, 0.5000, 0.5000), I at (0.0000, 0.0000, 0.5000) and Cl at (0.5000, 0.5000, 0.0000).

As for the total magnetization: 0.005 μB/cell. The value obtained for the total DFT energy (no corrections) is -25.19 eV/cell. Its raw formation energy is 54.0 kcal/mol of atoms.

***

For each record above, in turn, the calculated volume values are 14.54 27.65 24.97 Å³ per atom.